Compound: Hg2Pd5Pt
Source: Alexandria
Functional: GGA-PBE
Structure: relaxed

Values from the calculation:
The energy above the lowest structure with this stoichiometry comes out at 0.0 kJ/mol of atoms. The formation energy comes out at -7 kJ/mol of atoms.

Cell: 5.781 5.781 7.972 Å, 90.00 90.00 90.00°
Space group I4/mmm (No. 139)
Symmetry-distinct sites (fractional):
1 Hg 0.000 0.500 0.000 [4 per cell]
2 Pd 0.000 0.000 0.000 [2 per cell]
3 Pd 0.250 0.250 0.250 [8 per cell]
4 Pt 0.000 0.000 0.500 [2 per cell]

Compound: Hg4Pd7Pt
Source: Alexandria
Functional: GGA-PBE
Structure: relaxed

Values from the calculation:
The energy above the lowest structure with this stoichiometry comes out at 0.0 kJ/mol of atoms. The formation energy comes out at -9 kJ/mol of atoms.

Cell: 5.061 5.698 7.372 Å, 92.97 103.29 90.12°
Space group P-1 (No. 2)
Symmetry-distinct sites (fractional):
1 Hg 0.205 0.211 0.171 [2 per cell]
2 Hg 0.279 0.505 0.817 [2 per cell]
3 Pd 0.006 0.758 0.499 [2 per cell]
4 Pd 0.216 0.721 0.167 [2 per cell]
5 Pd 0.295 0.011 0.827 [2 per cell]
6 Pd 0.500 0.500 0.500 [1 per cell]
7 Pt 0.500 0.000 0.500 [1 per cell]

Compound: Hg5Pd4Pt
Source: Alexandria
Functional: GGA-PBE
Structure: relaxed

Values from the calculation:
The formation energy comes out at -12 kJ/mol of atoms.

Cell: 3.081 3.081 19.018 Å, 90.00 90.00 90.00°
Space group P4/mmm (No. 123)
Symmetry-distinct sites (fractional):
1 Hg 0.000 0.000 0.000 [1 per cell]
2 Hg 0.000 0.000 0.200 [2 per cell]
3 Hg 0.000 0.000 0.399 [2 per cell]
4 Pd 0.500 0.500 0.100 [2 per cell]
5 Pd 0.500 0.500 0.299 [2 per cell]
6 Pt 0.500 0.500 0.500 [1 per cell]

Compound: Hg2PdPt
Source: Alexandria
Functional: GGA-PBE
Structure: relaxed

Values from the calculation:
The energy above the lowest structure with this stoichiometry comes out at 0.6 kJ/mol of atoms. The formation energy comes out at -6 kJ/mol of atoms.

Cell: 3.064 3.064 7.701 Å, 90.00 90.00 90.00°
Space group P4/mmm (No. 123)
Symmetry-distinct sites (fractional):
1 Hg 0.000 0.000 0.248 [2 per cell]
2 Pd 0.500 0.500 0.000 [1 per cell]
3 Pt 0.500 0.500 0.500 [1 per cell]

Compound: Hg3Pd2Pt2
Source: Alexandria
Functional: GGA-PBE
Structure: relaxed

Values from the calculation:
The formation energy comes out at 10 kJ/mol of atoms.

Cell: 4.5804 4.5804 22.2488 Å, 90.00 90.00 120.00°
Space group R-3m (No. 166, hexagonal axes)
Symmetry-distinct sites (fractional):
1 Hg 0.0000 0.0000 0.0000 [3 per cell]
2 Hg 0.0000 0.0000 0.2474 [6 per cell]
3 Pd 0.0000 0.0000 0.3804 [6 per cell]
4 Pt 0.0000 0.0000 0.1258 [6 per cell]

Compound: HgPd6Pt2
Source: Alexandria
Functional: GGA-PBE
Structure: relaxed

Values from the calculation:
The energy above the lowest structure with this stoichiometry comes out at 0.0 kJ/mol of atoms. The formation energy comes out at 1 kJ/mol of atoms.

Cell: 12.866 9.569 4.808 Å, 90.00 99.52 90.00°
Space group C2/c (No. 15)
Symmetry-distinct sites (fractional):
1 Hg 0.000 0.124 0.250 [4 per cell]
2 Pd 0.055 0.378 0.532 [8 per cell]
3 Pd 0.117 0.130 0.803 [8 per cell]
4 Pd 0.229 0.124 0.353 [8 per cell]
5 Pt 0.165 0.375 0.092 [8 per cell]

Compound: Hg3Pd2Pt
Source: Alexandria
Functional: GGA-PBE
Structure: relaxed

Values from the calculation:
The formation energy comes out at -9 kJ/mol of atoms.

Cell: 3.067 3.067 11.530 Å, 90.00 90.00 90.00°
Space group P4/mmm (No. 123)
Symmetry-distinct sites (fractional):
1 Hg 0.000 0.000 0.000 [1 per cell]
2 Hg 0.000 0.000 0.331 [2 per cell]
3 Pd 0.500 0.500 0.166 [2 per cell]
4 Pt 0.500 0.500 0.500 [1 per cell]

Compound: Hg3Pd12Pt
Source: Alexandria
Functional: GGA-PBE
Structure: relaxed

Values from the calculation:
The formation energy comes out at -8 kJ/mol of atoms.

Cell: 4.007 4.007 16.281 Å, 90.00 90.00 90.00°
Space group P4/mmm (No. 123)
Symmetry-distinct sites (fractional):
1 Hg 0.000 0.000 0.000 [1 per cell]
2 Hg 0.000 0.000 0.253 [2 per cell]
3 Pd 0.000 0.500 0.127 [4 per cell]
4 Pd 0.000 0.500 0.381 [4 per cell]
5 Pd 0.500 0.500 0.000 [1 per cell]
6 Pd 0.500 0.500 0.255 [2 per cell]
7 Pd 0.500 0.500 0.500 [1 per cell]
8 Pt 0.000 0.000 0.500 [1 per cell]

Compound: HgPd4Pt
Source: Alexandria
Functional: GGA-PBE
Structure: relaxed

Values from the calculation:
The energy above the lowest structure with this stoichiometry comes out at 0.0 kJ/mol of atoms. The formation energy comes out at -7 kJ/mol of atoms.

Cell: 5.812 7.909 16.966 Å, 90.00 90.00 90.00°
Space group Fddd (No. 70, origin choice 2)
Symmetry-distinct sites (fractional):
1 Hg 0.125 0.125 0.125 [8 per cell]
2 Pd 0.125 0.125 0.295 [16 per cell]
3 Pd 0.125 0.125 0.462 [16 per cell]
4 Pt 0.125 0.125 0.625 [8 per cell]

Compound: HgPd2Pt
Source: Alexandria
Functional: GGA-PBE
Structure: relaxed

Values from the calculation:
The formation energy comes out at -6 kJ/mol of atoms.

Cell: 2.902 2.902 7.912 Å, 90.00 90.00 90.00°
Space group P4/mmm (No. 123)
Symmetry-distinct sites (fractional):
1 Hg 0.000 0.000 0.000 [1 per cell]
2 Pd 0.500 0.500 0.259 [2 per cell]
3 Pt 0.000 0.000 0.500 [1 per cell]

Compound: HgPd2Pt
Source: Alexandria
Functional: GGA-PBE
Structure: relaxed

Values from the calculation:
The formation energy comes out at -5 kJ/mol of atoms.

Cell: 4.122 4.122 3.924 Å, 90.00 90.00 90.00°
Space group P4/mmm (No. 123)
Symmetry-distinct sites (fractional):
1 Hg 0.000 0.000 0.000 [1 per cell]
2 Pd 0.000 0.500 0.500 [2 per cell]
3 Pt 0.500 0.500 0.000 [1 per cell]

Compound: HgPd3Pt
Source: Alexandria
Functional: GGA-PBE
Structure: relaxed

Values from the calculation:
The energy above the lowest structure with this stoichiometry comes out at 87.8 kJ/mol of atoms. The formation energy comes out at 81 kJ/mol of atoms.

Cell: 4.921 4.921 4.921 Å, 90.00 90.00 90.00°
Space group Pm-3m (No. 221)
Symmetry-distinct sites (fractional):
1 Hg 0.000 0.000 0.000 [1 per cell]
2 Pd 0.000 0.500 0.500 [3 per cell]
3 Pt 0.500 0.500 0.500 [1 per cell]

> Number 9 is which compound?

HgPd4Pt